VASP calculation (PBE) on a relaxed Sm2MgPd6 crystal.

The structure in POSCAR format:
```
Sm2MgPd6
1.0
6.363 -4.117 0.000
6.363 4.117 0.000
-1.153 0.000 3.654
Sm Mg Pd
2 1 6
Cartesian
1.833 0.000 0.596 Sm
9.740 0.000 3.058 Sm
5.787 0.000 1.827 Mg
3.894 1.929 1.225 Pd
6.363 1.928 0.000 Pd
7.679 1.929 2.430 Pd
3.894 -1.929 1.225 Pd
6.363 -1.928 0.000 Pd
7.679 -1.929 2.430 Pd
```

Summary:
For the total energy, the calculation gives -5.1682 eV/atom. The space group is C2/m, No. 12.

---

VASP calculation (PBE) on a relaxed Sm2MgPd crystal.

The structure in POSCAR format:
```
Sm2MgPd
1.0
0.000 3.705 3.705
3.705 0.000 3.705
3.705 3.705 0.000
Sm Mg Pd
2 1 1
Cartesian
1.852 1.852 1.852 Sm
5.557 5.557 5.557 Sm
0.000 0.000 0.000 Mg
3.705 3.705 3.705 Pd
```

Summary:
Its energy relative to the lowest polymorph listed for this composition is 85.1 meV per atom. The space group is Fm-3m, No. 225.

---

VASP calculation (PBE) on a relaxed SmMg2Pd9 crystal.

The structure in POSCAR format:
```
SmMg2Pd9
1.0
4.075 0.000 0.000
0.000 4.075 0.000
0.000 0.000 11.929
Sm Mg Pd
1 2 9
Cartesian
0.000 0.000 0.000 Sm
0.000 0.000 4.066 Mg
0.000 0.000 7.863 Mg
0.000 2.037 2.145 Pd
0.000 2.037 5.964 Pd
0.000 2.037 9.784 Pd
2.037 0.000 2.145 Pd
2.037 0.000 5.964 Pd
2.037 0.000 9.784 Pd
2.037 2.037 0.000 Pd
2.037 2.037 4.055 Pd
2.037 2.037 7.874 Pd
```

Summary:
For the total energy, the calculation gives -5.1260 eV/atom. The space group is P4/mmm, No. 123.

---

VASP calculation (PBE) on a relaxed SmMg9Pd3 crystal.

The structure in POSCAR format:
```
SmMg9Pd3
1.0
2.812 -7.032 0.000
2.812 7.032 0.000
-2.557 0.000 6.713
Sm Mg Pd
1 9 3
Cartesian
0.000 0.000 0.000 Sm
-1.278 0.000 3.357 Mg
0.203 4.539 4.521 Mg
0.284 1.576 5.280 Mg
2.864 4.539 2.192 Mg
2.783 1.576 1.433 Mg
0.284 -1.576 5.280 Mg
0.203 -4.539 4.521 Mg
2.783 -1.576 1.433 Mg
2.864 -4.539 2.192 Mg
1.406 3.516 0.000 Pd
1.406 -3.516 0.000 Pd
1.534 0.000 3.357 Pd
```

Summary:
For the total energy, the calculation gives -3.0569 eV/atom. The space group is C2/m, No. 12.

---

VASP calculation (PBE) on a relaxed SmMgPd14 crystal.

The structure in POSCAR format:
```
SmMgPd14
1.0
5.691 0.000 0.000
0.000 5.691 0.000
0.000 0.000 7.984
Sm Mg Pd
1 1 14
Cartesian
0.000 0.000 0.000 Sm
2.846 2.846 0.000 Mg
0.000 0.000 3.992 Pd
0.000 2.846 0.000 Pd
0.000 2.846 3.992 Pd
1.444 1.444 2.043 Pd
1.444 1.444 5.941 Pd
1.444 4.248 2.043 Pd
1.444 4.248 5.941 Pd
2.846 0.000 0.000 Pd
2.846 0.000 3.992 Pd
2.846 2.846 3.992 Pd
4.248 1.444 2.043 Pd
4.248 1.444 5.941 Pd
4.248 4.248 2.043 Pd
4.248 4.248 5.941 Pd
```

Summary:
For the total energy, the calculation gives -5.2337 eV/atom. The space group is P4/mmm, No. 123.

---

VASP calculation (PBE) on a relaxed SmMgPd crystal.

The structure in POSCAR format:
```
SmMgPd
1.0
-1.746 1.746 5.571
1.746 -1.746 5.571
1.746 1.746 -5.571
Sm Mg Pd
1 1 1
Cartesian
0.000 0.000 0.000 Sm
0.000 0.000 7.969 Mg
0.000 0.000 3.782 Pd
```

Summary:
For the total energy, the calculation gives -4.3500 eV/atom. The space group is I4mm, No. 107.

---

VASP calculation (PBE) on a relaxed SmMg4Pd5 crystal.

The structure in POSCAR format:
```
SmMg4Pd5
1.0
3.285 0.000 0.000
0.000 3.285 0.000
0.000 0.000 16.219
Sm Mg Pd
1 4 5
Cartesian
0.000 0.000 0.000 Sm
0.000 0.000 3.500 Mg
0.000 0.000 6.575 Mg
0.000 0.000 9.643 Mg
0.000 0.000 12.719 Mg
1.642 1.642 1.977 Pd
1.642 1.642 5.035 Pd
1.642 1.642 8.109 Pd
1.642 1.642 11.183 Pd
1.642 1.642 14.242 Pd
```

Summary:
For the total energy, the calculation gives -4.4269 eV/atom. The space group is P4/mmm, No. 123.

---

VASP calculation (PBE) on a relaxed SmMgPd crystal.

The structure in POSCAR format:
```
SmMgPd
1.0
7.603 0.000 0.000
-3.802 6.584 0.000
0.000 0.000 4.076
Sm Mg Pd
3 3 3
Cartesian
-1.573 2.724 0.000 Sm
3.145 0.000 0.000 Sm
2.229 3.860 0.000 Sm
-2.883 4.993 2.038 Mg
0.919 1.591 2.038 Mg
5.765 0.000 2.038 Mg
0.000 0.000 0.000 Pd
0.000 4.390 2.038 Pd
3.802 2.195 2.038 Pd
```

Summary:
For the total energy, the calculation gives -4.5042 eV/atom. The space group is P-62m, No. 189.

---

VASP calculation (PBE) on a relaxed SmMg3Pd crystal.

The structure in POSCAR format:
```
SmMg3Pd
1.0
4.287 -6.206 0.000
4.287 6.206 0.000
0.000 0.000 4.323
Sm Mg Pd
2 6 2
Cartesian
4.287 3.624 0.000 Sm
4.287 -3.624 0.000 Sm
0.000 0.000 2.162 Mg
2.613 1.575 2.162 Mg
2.613 -1.575 2.162 Mg
4.287 0.000 0.000 Mg
5.961 1.575 2.162 Mg
5.961 -1.575 2.162 Mg
1.611 0.000 0.000 Pd
6.964 0.000 0.000 Pd
```

Summary:
Its energy relative to the lowest polymorph listed for this composition is 0.0 meV per atom. The space group is Cmmm, No. 65.

---

VASP calculation (PBE) on a relaxed Sm2Mg3Pd4 crystal.

The structure in POSCAR format:
```
Sm2Mg3Pd4
1.0
2.918 -8.264 0.000
2.918 8.264 0.000
0.000 0.000 7.542
Sm Mg Pd
4 6 8
Cartesian
2.918 6.521 6.898 Sm
2.918 1.743 3.127 Sm
2.918 -1.743 4.415 Sm
2.918 -6.521 0.644 Sm
0.000 0.000 3.771 Mg
1.459 3.778 5.657 Mg
1.459 -3.778 1.886 Mg
2.918 0.000 0.000 Mg
4.378 3.778 5.657 Mg
4.378 -3.778 1.886 Mg
2.918 5.475 4.004 Pd
1.459 1.084 5.657 Pd
1.459 -1.084 1.886 Pd
2.918 2.789 0.233 Pd
2.918 -2.789 7.309 Pd
4.378 1.084 5.657 Pd
4.378 -1.084 1.886 Pd
2.918 -5.475 3.538 Pd
```

Summary:
For the total energy, the calculation gives -4.5693 eV/atom. The space group is Cmce, No. 64.

---

VASP calculation (PBE) on a relaxed Sm3Mg2Pd6 crystal.

The structure in POSCAR format:
```
Sm3Mg2Pd6
1.0
-4.853 4.853 4.853
4.853 -4.853 4.853
4.853 4.853 -4.853
Sm Mg Pd
6 4 12
Cartesian
2.928 0.000 0.000 Sm
6.778 0.000 0.000 Sm
0.000 2.928 0.000 Sm
0.000 0.000 2.928 Sm
0.000 6.778 0.000 Sm
0.000 0.000 6.778 Sm
2.426 2.426 -2.426 Mg
2.426 -2.426 2.426 Mg
-2.426 2.426 2.426 Mg
2.426 2.426 2.426 Mg
4.853 1.581 -1.581 Pd
4.853 -1.581 1.581 Pd
4.853 1.581 1.581 Pd
1.581 4.853 -1.581 Pd
3.271 3.271 0.000 Pd
1.581 -1.581 4.853 Pd
3.271 0.000 3.271 Pd
-1.581 4.853 1.581 Pd
1.581 4.853 1.581 Pd
-1.581 1.581 4.853 Pd
1.581 1.581 4.853 Pd
0.000 3.271 3.271 Pd
```

Summary:
For the total energy, the calculation gives -5.1743 eV/atom. The space group is Im-3m, No. 229.

---

VASP calculation (PBE) on a relaxed Sm3MgPd3 crystal.

The structure in POSCAR format:
```
Sm3MgPd3
1.0
4.479 -5.278 0.000
4.479 5.278 0.000
-0.307 0.000 7.137
Sm Mg Pd
6 2 6
Cartesian
4.479 3.479 0.000 Sm
4.325 2.599 3.568 Sm
3.119 0.000 0.980 Sm
5.531 0.000 6.157 Sm
4.325 -2.599 3.568 Sm
4.479 -3.479 0.000 Sm
2.114 0.000 4.529 Mg
6.536 0.000 2.608 Mg
2.106 2.420 5.608 Pd
0.520 0.000 2.276 Pd
2.106 -2.420 5.608 Pd
6.544 2.420 1.529 Pd
8.130 0.000 4.860 Pd
6.544 -2.420 1.529 Pd
```

Summary:
For the total energy, the calculation gives -5.0863 eV/atom. The space group is C2/m, No. 12.

---

Number 1: total moment 0.00 Bohr magnetons per cell. Number 2: total moment 0.00 Bohr magnetons per cell. Number 3: total moment 0.00 Bohr magnetons per cell. Number 4: total moment 0.00 Bohr magnetons per cell. Number 5: total moment 0.00 Bohr magnetons per cell. Number 6: total moment 0.00 Bohr magnetons per cell. Number 7: total moment 0.00 Bohr magnetons per cell. Number 8: total moment 0.00 Bohr magnetons per cell. Number 9: total moment 0.00 Bohr magnetons per cell. Number 10: total moment 0.00 Bohr magnetons per cell. Number 11: total moment 0.00 Bohr magnetons per cell. Number 12: total moment 0.00 Bohr magnetons per cell.